Record 1
The following is a PBE calculation of a relaxed structure of Pm2CdNi4Ge3, from Alexandria via LeMat-Bulk.

Properties
raw total energy = -53.0 eV for the cell shown

Unit cell a=4.177 b=4.177 c=9.977 alpha=90.00 beta=90.00 gamma=90.00
Element x y z (fractional)
Pm1 0.000 0.500 0.240
Pm2 0.500 0.000 0.760
Cd1 0.000 0.000 0.500
Ni1 0.000 0.000 0.000
Ni2 0.000 0.500 0.645
Ni3 0.500 0.000 0.355
Ni4 0.500 0.500 0.000
Ge1 0.000 0.500 0.878
Ge2 0.500 0.000 0.122
Ge3 0.500 0.500 0.500

Record 2
The following is a PBE calculation of a relaxed structure of Sm2CdNi3Ge4, from Alexandria via LeMat-Bulk.

Properties
raw total energy = -52.1 eV for the cell shown

Unit cell a=4.186 b=4.186 c=10.176 alpha=90.00 beta=90.00 gamma=90.00
Element x y z (fractional)
Sm1 0.000 0.500 0.236
Sm2 0.500 0.000 0.764
Cd1 0.000 0.000 0.500
Ni1 0.000 0.500 0.886
Ni2 0.500 0.000 0.114
Ni3 0.500 0.500 0.500
Ge1 0.000 0.000 0.000
Ge2 0.000 0.500 0.656
Ge3 0.500 0.000 0.344
Ge4 0.500 0.500 0.000

Q: The lowest raw total energy belongs to which entry?
A: Pm2CdNi4Ge3